No. 1
A geometry-optimized Ac2HoEr structure, computed with GGA-PBE.

Summary:
For the polymorph energy (0 for the lowest one), the calculation gives 0.209 eV per atom. The value obtained for the total energy is -16.3 eV/f.u. The value obtained for the magnetization is 0.00 μB/atom. Its density of states at the Fermi level is 7.55 states/eV/cell. The formation energy comes out at 0.264 eV per atom.

Unit cell a=3.6852 b=3.6852 c=13.2044 alpha=81.98 beta=81.98 gamma=60.00
Element x y z (fractional)
Ho1 0.5000 0.5000 0.5000
Ac1 0.9116 0.9116 0.2652
Ac2 0.0884 0.0884 0.7348
Er1 0.0000 0.0000 0.0000

No. 2
A geometry-optimized AcHo5Er12 structure, computed with GGA-PBE.

Summary:
The value obtained for the total energy is -79.5 eV/f.u. The value obtained for the magnetization is 0.00 μB/atom. Its density of states at the Fermi level is 38.19 states/eV/cell. The formation energy comes out at 0.128 eV per atom.

Unit cell a=11.2731 b=10.2489 c=5.9004 alpha=90.22 beta=90.40 gamma=56.64
Element x y z (fractional)
Er1 0.4973 0.6632 0.4483
Er2 0.1853 0.0000 0.5371
Er3 0.6610 0.0000 0.9612
Er4 0.3390 0.0000 0.0388
Er5 0.9829 0.6661 0.0551
Er6 0.5027 0.3368 0.5517
Er7 0.1604 0.3368 0.4483
Er8 0.8396 0.6632 0.5517
Er9 0.3510 0.6661 0.9449
Er10 0.0171 0.3339 0.9449
Er11 0.8147 0.0000 0.4629
Er12 0.6490 0.3339 0.0551
Ac1 0.0000 0.0000 0.0000
Ho1 0.6751 0.6498 0.0000
Ho2 0.3249 0.3502 0.0000
Ho3 0.1649 0.6701 0.5000
Ho4 0.8351 0.3299 0.5000
Ho5 0.5000 0.0000 0.5000

No. 3
A geometry-optimized AcHoEr structure, computed with GGA-PBE.

Summary:
For the polymorph energy (0 for the lowest one), the calculation gives 0.019 eV per atom. The value obtained for the total energy is -13.0 eV/f.u. The value obtained for the magnetization is 0.00 μB/atom. Its density of states at the Fermi level is 9.26 states/eV/cell. The formation energy comes out at 0.071 eV per atom.

Unit cell a=5.9343 b=3.7381 c=9.7377 alpha=78.95 beta=90.00 gamma=89.99
Element x y z (fractional)
Er1 0.9280 0.3054 0.4850
Er2 0.4280 0.2041 0.6880
Ac1 0.9281 0.9722 0.1496
Ac2 0.4281 0.5352 0.0240
Ho1 0.9281 0.6524 0.7928
Ho2 0.4280 0.8574 0.3804

No. 4
A geometry-optimized AcHo3Er7 structure, computed with GGA-PBE.

Summary:
For the polymorph energy (0 for the lowest one), the calculation gives 0.156 eV per atom. The value obtained for the total energy is -46.3 eV/f.u. The value obtained for the magnetization is 0.00 μB/atom. Its density of states at the Fermi level is 17.75 states/eV/cell. The formation energy comes out at 0.313 eV per atom.

Unit cell a=5.9051 b=8.3985 c=8.3985 alpha=82.02 beta=110.63 gamma=110.63
Element x y z (fractional)
Er1 0.2862 0.9765 0.5960
Er2 0.7138 0.0235 0.4040
Er3 0.1961 0.1958 0.1958
Er4 0.0000 0.5000 0.5000
Er5 0.7138 0.4040 0.0235
Er6 0.8039 0.8042 0.8042
Er7 0.2862 0.5960 0.9765
Ac1 0.5000 0.5000 0.5000
Ho1 0.0000 0.7902 0.2098
Ho2 0.0000 0.2098 0.7902
Ho3 0.5000 0.0000 0.0000

No. 5
A geometry-optimized AcHo8Er3 structure, computed with GGA-PBE.

Summary:
The value obtained for the total energy is -50.3 eV/f.u. The value obtained for the magnetization is 0.00 μB/atom. Its density of states at the Fermi level is 16.76 states/eV/cell. The formation energy comes out at 0.342 eV per atom.

Unit cell a=8.6902 b=8.6902 c=8.6902 alpha=98.21 beta=97.02 gamma=137.30
Element x y z (fractional)
Ho1 0.0242 0.7577 0.2664
Ho2 0.1730 0.2527 0.4257
Ho3 0.8271 0.7474 0.5743
Ho4 0.5087 0.2423 0.2666
Ho5 0.1729 0.7473 0.9203
Ho6 0.8270 0.2526 0.0797
Ho7 0.4913 0.7579 0.7336
Ho8 0.9757 0.2421 0.7334
Ac1 0.0000 0.0000 0.0000
Er1 0.5000 0.7681 0.2681
Er2 0.0000 0.5000 0.5000
Er3 0.5000 0.2319 0.7319

No. 6
A geometry-optimized Ac2Ho12Er5 structure, computed with GGA-PBE.

Summary:
For the polymorph energy (0 for the lowest one), the calculation gives 0.000 eV per atom. The value obtained for the total energy is -83.7 eV/f.u. The value obtained for the magnetization is 0.00 μB/atom. Its density of states at the Fermi level is 28.90 states/eV/cell. The formation energy comes out at 0.122 eV per atom.

Unit cell a=6.7290 b=14.1933 c=13.8683 alpha=150.76 beta=84.29 gamma=102.34
Element x y z (fractional)
Ho1 0.8493 0.4564 0.0510
Ho2 0.6698 0.7111 0.1005
Ho3 0.9709 0.6451 0.8373
Ho4 0.4293 0.4952 0.7037
Ho5 0.5707 0.5048 0.2963
Ho6 0.4059 0.9764 0.2143
Ho7 0.1507 0.5436 0.9490
Ho8 0.5941 0.0236 0.7857
Ho9 0.0458 0.8556 0.6361
Ho10 0.3302 0.2889 0.8995
Ho11 0.0291 0.3549 0.1627
Ho12 0.9542 0.1444 0.3639
Er1 0.0000 0.0000 0.5000
Er2 0.3865 0.7797 0.3714
Er3 0.7420 0.4091 0.4318
Er4 0.6135 0.2203 0.6286
Er5 0.2580 0.5909 0.5682
Ac1 0.7243 0.9033 0.9179
Ac2 0.2757 0.0967 0.0821